Pr3NpOs8 | the Alexandria database | PBE | optimized geometry; ΔE_f = -0.08 kcal/mol of atoms; magnetization = 0.18 μB/atom; raw total energy = -9.763 eV/atom
1.0
4.695 -2.714 0.000
4.695 2.714 0.000
-3.114 0.000 8.887
Pr Np Os
3 1 8
Cartesian
0.000 0.000 0.000
3.140 0.000 4.454
3.144 0.000 7.792
0.007 0.000 3.327
0.784 1.340 6.074
-1.521 0.000 6.073
2.353 1.351 1.716
0.017 0.000 8.364
0.784 -1.340 6.074
2.353 -1.351 1.716
4.699 0.000 1.718
6.272 0.000 3.903